Here is an optimized crystal structure of RbAsSe2N from Alexandria via LeMat-Bulk. Energies are from PBE-GGA. Values from VASP.

Cell and atoms, written as Quantum ESPRESSO input:
```
&SYSTEM
  ibrav = 0, nat = 5, ntyp = 4
/
ATOMIC_SPECIES
Rb 85.47 Rb.upf
As 74.92 As.upf
Se 78.96 Se.upf
N 14.01 N.upf
CELL_PARAMETERS angstrom
5.765 0.000 0.000
0.000 5.765 0.000
0.000 0.000 3.623
ATOMIC_POSITIONS crystal
Rb 0.000 0.000 0.000
As 0.500 0.500 0.500
Se 0.000 0.500 0.500
Se 0.500 0.000 0.500
N 0.500 0.500 0.000
```

Results
E_form (uncorrected) ... 2.0 eV per formula unit
Total DFT energy (no corrections) ... -3.779 eV/atom
Crystal system ... tetragonal
DOS(E_F) ... 3.86 states/eV per cell
Symmetry ... No. 123

=====

Here is an optimized crystal structure of RbAsSe2N from Alexandria via LeMat-Bulk. Energies are from PBE-GGA. Values from VASP.

Cell and atoms, written as Quantum ESPRESSO input:
```
&SYSTEM
  ibrav = 0, nat = 5, ntyp = 4
/
ATOMIC_SPECIES
Rb 85.47 Rb.upf
As 74.92 As.upf
Se 78.96 Se.upf
N 14.01 N.upf
CELL_PARAMETERS angstrom
5.281 0.000 0.000
0.000 5.281 0.000
0.000 0.000 4.040
ATOMIC_POSITIONS crystal
Rb 0.000 0.000 0.000
As 0.500 0.500 0.000
Se 0.000 0.500 0.500
Se 0.500 0.000 0.500
N 0.500 0.500 0.500
```

Results
E_form (uncorrected) ... 3.1 eV per formula unit
Total DFT energy (no corrections) ... -3.556 eV/atom
Crystal system ... tetragonal
DOS(E_F) ... 6.02 states/eV per cell
Symmetry ... No. 123

=====

Here is an optimized crystal structure of RbAsSe2N from Alexandria via LeMat-Bulk. Energies are from PBE-GGA. Values from VASP.

Cell and atoms, written as Quantum ESPRESSO input:
```
&SYSTEM
  ibrav = 0, nat = 5, ntyp = 4
/
ATOMIC_SPECIES
Rb 85.47 Rb.upf
As 74.92 As.upf
Se 78.96 Se.upf
N 14.01 N.upf
CELL_PARAMETERS angstrom
6.620 0.000 0.000
0.000 6.620 0.000
0.000 0.000 6.770
ATOMIC_POSITIONS crystal
Rb 0.000 0.000 0.000
As 0.000 0.000 0.500
Se 0.000 0.500 0.000
Se 0.500 0.000 0.000
N 0.500 0.500 0.500
```

Results
E_form (uncorrected) ... 10.8 eV per formula unit
Total DFT energy (no corrections) ... -2.023 eV/atom
Crystal system ... tetragonal
DOS(E_F) ... 12.84 states/eV per cell
Symmetry ... No. 123

=====

Here is an optimized crystal structure of RbAs2SeN from Alexandria via LeMat-Bulk. Energies are from PBE-GGA. Values from VASP.

Cell and atoms, written as Quantum ESPRESSO input:
```
&SYSTEM
  ibrav = 0, nat = 5, ntyp = 4
/
ATOMIC_SPECIES
Rb 85.47 Rb.upf
As 74.92 As.upf
Se 78.96 Se.upf
N 14.01 N.upf
CELL_PARAMETERS angstrom
7.588 0.000 0.000
0.000 7.588 0.000
0.000 0.000 6.649
ATOMIC_POSITIONS crystal
Rb 0.000 0.000 0.000
As 0.000 0.500 0.000
As 0.500 0.000 0.000
Se 0.000 0.000 0.500
N 0.500 0.500 0.500
```

Results
E_form (uncorrected) ... 10.9 eV per formula unit
Total DFT energy (no corrections) ... -2.238 eV/atom
Crystal system ... tetragonal
DOS(E_F) ... 7.30 states/eV per cell
Symmetry ... No. 123

=====

> Among the records above, which one has the highest E_form (uncorrected)?

RbAs2SeN

=====

> Which formula does entry 1 have?

RbAsSe2N

=====

> What is the formula in the fourth record?

RbAs2SeN